No. 1
VASP calculation (PBE) on a relaxed PuZr3Sc4 crystal.

Cell: 3.391 7.452 7.463 Å, 90.00 90.00 90.00°
Sites, in units of the cell vectors:
1 Pu 0.000 0.000 0.000
2 Zr 0.000 0.000 0.500
3 Zr 0.000 0.500 0.000
4 Zr 0.000 0.500 0.500
5 Sc 0.500 0.251 0.250
6 Sc 0.500 0.251 0.750
7 Sc 0.500 0.749 0.250
8 Sc 0.500 0.749 0.750

Summary:
* size of the total moment: 6.57 μB per formula unit
* space-group type: Pmmm, No. 47



No. 2
VASP calculation (PBE) on a relaxed PuZr3Sc6 crystal.

Cell: 11.132 3.254 13.226 Å, 90.00 99.31 90.00°
Sites, in units of the cell vectors:
1 Pu 0.017 0.250 0.442
2 Pu 0.983 0.750 0.558
3 Zr 0.114 0.250 0.052
4 Zr 0.413 0.750 0.798
5 Zr 0.472 0.250 0.609
6 Zr 0.528 0.750 0.391
7 Zr 0.587 0.250 0.202
8 Zr 0.886 0.750 0.948
9 Sc 0.087 0.750 0.249
10 Sc 0.141 0.750 0.852
11 Sc 0.207 0.250 0.655
12 Sc 0.268 0.750 0.454
13 Sc 0.329 0.250 0.245
14 Sc 0.379 0.750 0.041
15 Sc 0.621 0.250 0.959
16 Sc 0.671 0.750 0.755
17 Sc 0.732 0.250 0.546
18 Sc 0.793 0.750 0.345
19 Sc 0.859 0.250 0.148
20 Sc 0.913 0.250 0.751

Summary:
* size of the total moment: 0.26 μB per formula unit
* space-group type: P2_1/m, No. 11



No. 3
VASP calculation (PBE) on a relaxed Pu2Zr5Sc2 crystal.

Cell: 8.827 8.827 8.827 Å, 80.05 121.69 130.35°
Sites, in units of the cell vectors:
1 Pu 0.000 0.000 0.000
2 Pu 0.000 0.500 0.500
3 Pu 0.618 0.370 0.747
4 Pu 0.623 0.870 0.253
5 Zr 0.110 0.053 0.345
6 Zr 0.110 0.264 0.556
7 Zr 0.117 0.695 0.922
8 Zr 0.467 0.101 0.295
9 Zr 0.467 0.672 0.866
10 Zr 0.708 0.553 0.444
11 Zr 0.708 0.764 0.655
12 Zr 0.773 0.195 0.078
13 Zr 0.806 0.172 0.705
14 Zr 0.806 0.601 0.134
15 Sc 0.255 0.413 0.105
16 Sc 0.255 0.649 0.342
17 Sc 0.307 0.149 0.895
18 Sc 0.307 0.913 0.658

Summary:
* size of the total moment: 10.82 μB per formula unit
* space-group type: Ima2, No. 46



No. 4
VASP calculation (PBE) on a relaxed Pu2ZrSc crystal.

Cell: 4.511 4.511 4.722 Å, 90.00 90.00 90.00°
Sites, in units of the cell vectors:
1 Pu 0.000 0.500 0.000
2 Pu 0.500 0.000 0.000
3 Zr 0.000 0.000 0.500
4 Sc 0.500 0.500 0.500

Summary:
* size of the total moment: 10.99 μB per formula unit
* space-group type: P4/mmm, No. 123



No. 5
VASP calculation (PBE) on a relaxed PuZrSc14 crystal.

Cell: 6.510 6.510 9.147 Å, 90.00 90.00 90.00°
Sites, in units of the cell vectors:
1 Pu 0.000 0.000 0.000
2 Zr 0.500 0.500 0.000
3 Sc 0.000 0.000 0.500
4 Sc 0.000 0.500 0.000
5 Sc 0.000 0.500 0.500
6 Sc 0.252 0.252 0.245
7 Sc 0.252 0.252 0.755
8 Sc 0.252 0.748 0.245
9 Sc 0.252 0.748 0.755
10 Sc 0.500 0.000 0.000
11 Sc 0.500 0.000 0.500
12 Sc 0.500 0.500 0.500
13 Sc 0.748 0.252 0.245
14 Sc 0.748 0.252 0.755
15 Sc 0.748 0.748 0.245
16 Sc 0.748 0.748 0.755

Summary:
* size of the total moment: 5.89 μB per formula unit
* space-group type: P4/mmm, No. 123



No. 6
VASP calculation (PBE) on a relaxed PuZrSc3 crystal.

Cell: 2.955 11.385 11.385 Å, 27.41 90.00 90.00°
Sites, in units of the cell vectors:
1 Pu 0.000 0.000 0.000
2 Zr 0.500 0.255 0.255
3 Sc 0.000 0.137 0.137
4 Sc 0.500 0.130 0.629
5 Sc 0.500 0.629 0.130

Summary:
* size of the total moment: 5.33 μB per formula unit
* space-group type: Amm2, No. 38



No. 7
VASP calculation (PBE) on a relaxed PuZrSc crystal.

Cell: 5.125 5.125 3.118 Å, 90.00 90.00 120.00°
Sites, in units of the cell vectors:
1 Pu 0.000 0.000 0.000
2 Zr 0.667 0.333 0.000
3 Sc 0.333 0.667 0.500

Summary:
* size of the total moment: 4.73 μB per formula unit
* space-group type: P-6m2, No. 187



No. 8
VASP calculation (PBE) on a relaxed PuZr2Sc crystal.

Cell: 6.485 6.485 4.487 Å, 90.00 90.00 89.49°
Sites, in units of the cell vectors:
1 Pu 0.124 0.876 0.750
2 Pu 0.876 0.124 0.250
3 Zr 0.120 0.374 0.750
4 Zr 0.374 0.120 0.250
5 Zr 0.626 0.880 0.750
6 Zr 0.880 0.626 0.250
7 Sc 0.375 0.625 0.250
8 Sc 0.625 0.375 0.750

Summary:
* size of the total moment: 5.21 μB per formula unit
* space-group type: Cmcm, No. 63



No. 9
VASP calculation (PBE) on a relaxed PuZrSc2 crystal.

Cell: 7.656 5.081 9.827 Å, 90.00 90.00 90.00°
Sites, in units of the cell vectors:
1 Pu 0.072 0.250 0.029
2 Pu 0.428 0.750 0.529
3 Pu 0.572 0.250 0.471
4 Pu 0.928 0.750 0.971
5 Zr 0.140 0.750 0.712
6 Zr 0.360 0.250 0.212
7 Zr 0.640 0.750 0.788
8 Zr 0.860 0.250 0.288
9 Sc 0.132 0.750 0.271
10 Sc 0.151 0.250 0.497
11 Sc 0.349 0.750 0.997
12 Sc 0.368 0.250 0.771
13 Sc 0.632 0.750 0.229
14 Sc 0.651 0.250 0.003
15 Sc 0.849 0.750 0.503
16 Sc 0.868 0.250 0.729

Summary:
* size of the total moment: 5.56 μB per formula unit
* space-group type: Pnma, No. 62



No. 10
VASP calculation (PBE) on a relaxed PuZr2Sc crystal.

Cell: 10.691 10.691 10.691 Å, 17.43 17.43 17.43°
Sites, in units of the cell vectors:
1 Pu 0.000 0.000 0.000
2 Zr 0.250 0.250 0.250
3 Zr 0.750 0.750 0.750
4 Sc 0.500 0.500 0.500

Summary:
* size of the total moment: 5.19 μB per formula unit
* space-group type: R-3m, No. 166



No. 11
VASP calculation (PBE) on a relaxed PuZr4Sc2 crystal.

Cell: 10.797 10.797 3.176 Å, 98.00 98.00 26.82°
Sites, in units of the cell vectors:
1 Pu 0.000 0.000 0.000
2 Zr 0.140 0.140 0.147
3 Zr 0.421 0.421 0.410
4 Zr 0.579 0.579 0.590
5 Zr 0.860 0.860 0.853
6 Sc 0.279 0.279 0.777
7 Sc 0.721 0.721 0.223

Summary:
* size of the total moment: 4.85 μB per formula unit
* space-group type: C2/m, No. 12



No. 12
VASP calculation (PBE) on a relaxed PuZrSc2 crystal.

Cell: 5.146 5.146 5.146 Å, 60.00 60.00 60.00°
Sites, in units of the cell vectors:
1 Pu 0.000 0.000 0.000
2 Zr 0.500 0.500 0.500
3 Sc 0.250 0.250 0.250
4 Sc 0.750 0.750 0.750

Summary:
* size of the total moment: 5.14 μB per formula unit
* space-group type: Fm-3m, No. 225



No. 13
VASP calculation (PBE) on a relaxed PuZr12Sc5 crystal.

Cell: 5.572 5.572 15.682 Å, 93.38 93.38 119.99°
Sites, in units of the cell vectors:
1 Pu 0.000 0.000 0.000
2 Zr 0.054 0.724 0.163
3 Zr 0.111 0.443 0.331
4 Zr 0.222 0.222 0.670
5 Zr 0.276 0.946 0.837
6 Zr 0.383 0.383 0.163
7 Zr 0.443 0.111 0.331
8 Zr 0.557 0.889 0.669
9 Zr 0.617 0.617 0.837
10 Zr 0.724 0.054 0.163
11 Zr 0.778 0.778 0.330
12 Zr 0.889 0.557 0.669
13 Zr 0.946 0.276 0.837
14 Sc 0.167 0.833 0.500
15 Sc 0.334 0.666 0.000
16 Sc 0.500 0.500 0.500
17 Sc 0.666 0.334 0.000
18 Sc 0.833 0.167 0.500

Summary:
* size of the total moment: 0.22 μB per formula unit
* space-group type: C2/m, No. 12



No. 14
VASP calculation (PBE) on a relaxed PuZr3Sc7 crystal.

Cell: 6.411 6.411 7.714 Å, 90.00 90.00 120.00°
Sites, in units of the cell vectors:
1 Pu 0.000 0.000 0.000
2 Zr 0.164 0.328 0.668
3 Zr 0.164 0.836 0.668
4 Zr 0.672 0.836 0.668
5 Sc 0.001 0.500 0.990
6 Sc 0.329 0.165 0.337
7 Sc 0.333 0.667 0.334
8 Sc 0.500 0.500 0.990
9 Sc 0.500 0.999 0.990
10 Sc 0.835 0.165 0.337
11 Sc 0.835 0.671 0.337

Summary:
* size of the total moment: 5.42 μB per formula unit
* space-group type: P3m1, No. 156



No. 15
VASP calculation (PBE) on a relaxed Pu2Zr5Sc2 crystal.

Cell: 3.230 5.863 11.945 Å, 85.00 85.44 77.19°
Sites, in units of the cell vectors:
1 Pu 0.222 0.361 0.115
2 Pu 0.778 0.639 0.885
3 Zr 0.000 0.500 0.500
4 Zr 0.158 0.091 0.888
5 Zr 0.476 0.618 0.292
6 Zr 0.524 0.382 0.708
7 Zr 0.842 0.909 0.112
8 Sc 0.247 0.927 0.624
9 Sc 0.753 0.073 0.376

Summary:
* size of the total moment: 10.88 μB per formula unit
* space-group type: P-1, No. 2



No. 16
VASP calculation (PBE) on a relaxed Pu2ZrSc crystal.

Cell: 11.414 11.414 11.414 Å, 16.20 16.20 16.20°
Sites, in units of the cell vectors:
1 Pu 0.087 0.087 0.087
2 Pu 0.913 0.913 0.913
3 Zr 0.500 0.500 0.500
4 Sc 0.000 0.000 0.000

Summary:
* size of the total moment: 10.96 μB per formula unit
* space-group type: R-3m, No. 166



No. 17
VASP calculation (PBE) on a relaxed PuZrSc2 crystal.

Cell: 3.211 3.211 9.420 Å, 90.00 90.00 90.00°
Sites, in units of the cell vectors:
1 Pu 0.000 0.000 0.000
2 Zr 0.000 0.000 0.500
3 Sc 0.500 0.500 0.262
4 Sc 0.500 0.500 0.738

Summary:
* size of the total moment: 6.35 μB per formula unit
* space-group type: P4/mmm, No. 123



No. 18
VASP calculation (PBE) on a relaxed PuZr2Sc crystal.

Cell: 4.595 4.595 4.468 Å, 90.00 90.00 90.00°
Sites, in units of the cell vectors:
1 Pu 0.000 0.000 0.000
2 Zr 0.000 0.500 0.500
3 Zr 0.500 0.000 0.500
4 Sc 0.500 0.500 0.000

Summary:
* size of the total moment: 5.54 μB per formula unit
* space-group type: P4/mmm, No. 123



No. 19
VASP calculation (PBE) on a relaxed PuZr6Sc2 crystal.

Cell: 8.824 8.824 3.102 Å, 90.00 90.00 120.00°
Sites, in units of the cell vectors:
1 Pu 0.000 0.000 0.000
2 Zr 0.000 0.334 0.296
3 Zr 0.000 0.666 0.704
4 Zr 0.334 0.000 0.296
5 Zr 0.334 0.334 0.704
6 Zr 0.666 0.000 0.704
7 Zr 0.666 0.666 0.296
8 Sc 0.333 0.667 0.000
9 Sc 0.667 0.333 0.000

Summary:
* size of the total moment: 5.57 μB per formula unit
* space-group type: P-31m, No. 162



No. 20
VASP calculation (PBE) on a relaxed PuZr5Sc2 crystal.

Cell: 10.813 10.813 11.334 Å, 121.14 121.14 43.23°
Sites, in units of the cell vectors:
1 Pu 0.111 0.322 0.420
2 Pu 0.322 0.111 0.920
3 Pu 0.678 0.889 0.080
4 Pu 0.889 0.678 0.580
5 Zr 0.052 0.546 0.268
6 Zr 0.056 0.062 0.706
7 Zr 0.062 0.056 0.206
8 Zr 0.079 0.192 0.046
9 Zr 0.192 0.079 0.546
10 Zr 0.243 0.486 0.802
11 Zr 0.342 0.632 0.387
12 Zr 0.368 0.658 0.113
13 Zr 0.454 0.948 0.232
14 Zr 0.486 0.243 0.302
15 Zr 0.514 0.757 0.698
16 Zr 0.546 0.052 0.768
17 Zr 0.632 0.342 0.887
18 Zr 0.658 0.368 0.613
19 Zr 0.757 0.514 0.198
20 Zr 0.808 0.921 0.454
21 Zr 0.921 0.808 0.954
22 Zr 0.938 0.944 0.794
23 Zr 0.944 0.938 0.294
24 Zr 0.948 0.454 0.732
25 Sc 0.195 0.482 0.064
26 Sc 0.231 0.626 0.591
27 Sc 0.374 0.769 0.909
28 Sc 0.482 0.195 0.564
29 Sc 0.518 0.805 0.436
30 Sc 0.626 0.231 0.091
31 Sc 0.769 0.374 0.409
32 Sc 0.805 0.518 0.936

Summary:
* size of the total moment: 4.86 μB per formula unit
* space-group type: C2/c, No. 15



Values of energy of formation, in order: 0.132, 0.102, 0.292, 0.134, 0.046, 1.147, 0.104, 0.054, 0.110, 0.099, 0.042, 0.149, 0.137, 0.231, 0.177, 0.290, 0.072, 0.075, 0.101, 0.145, all in eV per atom.